# 1
This record from OQMD describes a relaxed Ba2ScTaS6 crystal. The functional is GGA-PBE.

POSCAR file:
```
Ba2ScTaS6
1.0
6.938 0.000 0.000
0.000 7.035 0.000
-6.920 0.000 9.906
Ba Sc Ta S
4 2 2 12
direct
0.240 0.046 0.250 Ba
0.240 0.454 0.750 Ba
0.760 0.546 0.250 Ba
0.760 0.954 0.750 Ba
0.500 0.000 0.000 Sc
0.500 0.500 0.500 Sc
0.000 0.000 0.500 Ta
0.000 0.500 0.000 Ta
0.180 0.219 0.973 S
0.180 0.281 0.473 S
0.251 0.708 0.971 S
0.251 0.792 0.471 S
0.299 0.002 0.744 S
0.299 0.498 0.244 S
0.701 0.502 0.756 S
0.701 0.998 0.256 S
0.749 0.208 0.529 S
0.749 0.292 0.029 S
0.820 0.719 0.527 S
0.820 0.781 0.027 S
```

Calculated values
SG: P2_1/c (14)
Calculated total energy, Ha/atom: -0.2337

# 2
This record from OQMD describes a relaxed RbBW crystal. The functional is GGA-PBE.

POSCAR file:
```
RbBW
1.0
7.175 0.000 0.000
0.000 7.175 0.000
0.000 0.000 7.175
Rb B W
4 4 4
direct
0.000 0.000 0.000 Rb
0.000 0.500 0.500 Rb
0.500 0.000 0.500 Rb
0.500 0.500 0.000 Rb
0.250 0.250 0.750 B
0.250 0.750 0.250 B
0.750 0.250 0.250 B
0.750 0.750 0.750 B
0.250 0.250 0.250 W
0.250 0.750 0.750 W
0.750 0.250 0.750 W
0.750 0.750 0.250 W
```

Calculated values
SG: F-43m (216)
Energy above the lowest structure with this stoichiometry, meV/atom: 1099